Below is crystalline Sr3Co2Cl2O4 at its relaxed geometry, with properties calculated at the PBE with a Hubbard U level.

Summary:
**Fermi-level density of states**: 0.24 states/eV/f.u.
**E_tot**: -61.05 eV/cell
**Crystal system**: tetragonal

Structure (extended XYZ):
```
11
Lattice="4.077 0.000 0.000 0.000 4.077 0.000 -2.038 -2.038 11.230" Properties=species:S:1:pos:R:3 pbc="T T T"
Sr 0.000 0.000 0.000
Sr 0.000 0.000 3.353
Sr 2.038 2.038 7.877
Co 0.000 0.000 9.387
Co 2.038 2.038 1.842
Cl 0.000 0.000 6.737
Cl 2.038 2.038 4.492
O 2.038 0.000 1.745
O 0.000 2.038 1.745
O 0.000 2.038 9.484
O 2.038 0.000 9.484
```